A plane-wave DFT calculation with GGA-PBE was carried out for a geometry-optimized Sr4Cd3Cu structure.

a b c (Å): 4.4956 4.9206 12.3845
angles (deg): 90.00 90.00 90.00
Last column: nearest neighbours and their distance in Å.
Positions (direct):
Cd 0.0000 0.0000 0.4267  2 Cd 3.05
Cd 0.0000 0.5000 0.5716  2 Cd 3.05
Sr 0.5000 0.0000 0.6493  7 Cd 3.47-3.60
Sr 0.0000 0.0000 0.1406  3 Cd 3.35-3.54, 4 Cu 3.48
Cu 0.5000 0.5000 0.0598  2 Cd 2.87
Sr 0.5000 0.5000 0.3455  6 Cd 3.48-3.59, 1 Cu 3.54
Sr 0.0000 0.5000 0.8664  2 Cu 3.28, 5 Cd 3.46-3.65
Cd 0.5000 0.0000 0.9401  2 Cu 2.87

Results
space-group type = Pmm2 (25)
spin magnetization = 0.0 μB per formula unit
raw total energy = -15.47 eV per cell


A plane-wave DFT calculation with GGA-PBE was carried out for a geometry-optimized TaCrSi2 structure.

a b c (Å): 4.2939 4.2939 4.2939
angles (deg): 60.00 60.00 60.00
Last column: nearest neighbours and their distance in Å.
Positions (direct):
Ta 0.5000 0.5000 0.5000  8 Si 2.63
Si 0.7500 0.7500 0.7500  4 Cr 2.63, 4 Ta 2.63
Si 0.2500 0.2500 0.2500  4 Ta 2.63, 4 Cr 2.63
Cr 0.0000 0.0000 0.0000  8 Si 2.63

Results
space-group type = Fm-3m (225)
spin magnetization = 0.0 μB per formula unit
raw total energy = -32.15 eV per cell


A plane-wave DFT calculation with GGA-PBE was carried out for a geometry-optimized La3TbHo4 structure.

a b c (Å): 3.4996 9.0025 9.0025
angles (deg): 81.94 78.79 78.79
Last column: nearest neighbours and their distance in Å.
Positions (direct):
La 0.0000 0.5000 0.5000  6 La 3.50-3.80, 8 Ho 3.90
Tb 0.5000 0.0000 0.0000  4 Ho 3.39, 2 Tb 3.50, 4 La 3.65
Ho 0.6343 0.6202 0.1111  1 Tb 3.39, 3 La 3.41-3.68, 5 Ho 3.50-3.53
Ho 0.3657 0.3798 0.8889  1 Tb 3.39, 3 La 3.41-3.68, 5 Ho 3.50-3.53
La 0.2437 0.7563 0.7563  6 Ho 3.41-3.68, 4 La 3.50-3.80, 2 Tb 3.65
Ho 0.3657 0.8889 0.3798  1 Tb 3.39, 3 La 3.41-3.68, 5 Ho 3.50-3.53
Ho 0.6343 0.1111 0.6202  1 Tb 3.39, 3 La 3.41-3.68, 5 Ho 3.50-3.53
La 0.7563 0.2437 0.2437  6 Ho 3.41-3.68, 4 La 3.50-3.80, 2 Tb 3.65

Results
polymorph energy (0 for the lowest one) = 0.1056 eV/atom
space-group type = Immm (71)
spin magnetization = 0.0 μB per formula unit
raw total energy = -36.62 eV per cell


A plane-wave DFT calculation with GGA-PBE was carried out for a geometry-optimized Mg14GaNi structure.

a b c (Å): 6.1964 6.1964 10.0964
angles (deg): 90.00 90.00 120.00
Last column: nearest neighbours and their distance in Å.
Positions (direct):
Mg 0.4990 0.5010 0.5000  10 Mg 3.08-3.21, 2 Ga 3.10
Mg 0.6773 0.8386 0.7620  1 Ni 2.96, 10 Mg 3.00-3.21, 1 Ga 3.16
Mg 0.1614 0.3227 0.2380  1 Ni 2.96, 10 Mg 3.00-3.21, 1 Ga 3.16
Mg 0.6667 0.3333 0.2513  12 Mg 3.09-3.10
Mg 0.6667 0.3333 0.7487  12 Mg 3.09-3.10
Ni 0.0000 0.0000 0.0000  12 Mg 2.96-3.10
Ga 0.0000 0.0000 0.5000  12 Mg 3.10-3.16
Mg 0.1614 0.8386 0.2380  1 Ni 2.96, 10 Mg 3.00-3.21, 1 Ga 3.16
Mg 0.5019 0.0038 0.0000  10 Mg 3.02-3.13, 2 Ni 3.10
Mg 0.5019 0.4981 0.0000  10 Mg 3.02-3.13, 2 Ni 3.10
Mg 0.1614 0.8386 0.7620  1 Ni 2.96, 10 Mg 3.00-3.21, 1 Ga 3.16
Mg 0.6773 0.8386 0.2380  1 Ni 2.96, 10 Mg 3.00-3.21, 1 Ga 3.16
Mg 0.1614 0.3227 0.7620  1 Ni 2.96, 10 Mg 3.00-3.21, 1 Ga 3.16
Mg 0.4990 0.9981 0.5000  10 Mg 3.08-3.21, 2 Ga 3.10
Mg 0.0019 0.5010 0.5000  10 Mg 3.08-3.21, 2 Ga 3.10
Mg 0.9962 0.4981 0.0000  10 Mg 3.02-3.13, 2 Ni 3.10

Results
space-group type = P-6m2 (187)
spin magnetization = 0.0 μB per formula unit
raw total energy = -31.26 eV per cell


A plane-wave DFT calculation with GGA-PBE was carried out for a geometry-optimized Y3HoPt2 structure.

a b c (Å): 6.8973 7.1210 8.4476
angles (deg): 114.93 114.09 90.00
Last column: nearest neighbours and their distance in Å.
Positions (direct):
Y 0.7639 0.5139 0.5277  4 Pt 2.87-2.98
Y 0.5000 0.7500 0.0000  4 Pt 2.99
Pt 0.5734 0.3608 0.7215  1 Ho 2.75, 6 Y 2.87-2.99
Pt 0.1481 0.8608 0.7215  1 Ho 2.75, 6 Y 2.87-2.99
Pt 0.4266 0.6392 0.2785  1 Ho 2.75, 6 Y 2.87-2.99
Y 0.2361 0.9861 0.4723  4 Pt 2.87-2.98
Y 0.5000 0.2500 0.0000  4 Pt 2.99
Pt 0.8519 0.1392 0.2785  1 Ho 2.75, 6 Y 2.87-2.99
Ho 0.0000 0.5000 0.0000  2 Pt 2.75
Y 0.7639 0.0139 0.5277  4 Pt 2.87-2.98
Ho 0.0000 0.0000 0.0000  2 Pt 2.75
Y 0.2361 0.4861 0.4723  4 Pt 2.87-2.98

Results
polymorph energy (0 for the lowest one) = 0.1025 eV/atom
space-group type = Ibam (72)
spin magnetization = 0.0 μB per formula unit
raw total energy = -82.18 eV per cell


A plane-wave DFT calculation with GGA-PBE was carried out for a geometry-optimized EuY2Pt structure.

a b c (Å): 3.5745 3.5745 9.1323
angles (deg): 90.00 90.00 90.00
Last column: nearest neighbours and their distance in Å.
Positions (direct):
Pt 0.5000 0.5000 0.0000  8 Y 3.01
Y 0.0000 0.0000 0.1796  4 Pt 3.01, 1 Y 3.28
Eu 0.5000 0.5000 0.5000  4 Eu 3.57, 8 Y 3.87
Y 0.0000 0.0000 0.8204  4 Pt 3.01, 1 Y 3.28

Results
polymorph energy (0 for the lowest one) = 0.0000 eV/atom
space-group type = P4/mmm (123)
spin magnetization = 8.3 μB per formula unit
raw total energy = -31.50 eV per cell